[1]
! DyGaNi | the Alexandria database | PBE | optimized geometry; values from VASP
&SYSTEM
  ibrav = 0, nat = 12, ntyp = 3
/
ATOMIC_SPECIES
Dy 162.50 Dy.upf
Ga 69.72 Ga.upf
Ni 58.69 Ni.upf
CELL_PARAMETERS angstrom
6.2181 0.0000 0.0000
0.0000 6.2181 0.0000
0.0000 0.0000 6.2181
ATOMIC_POSITIONS angstrom
Dy 0.0000 0.0000 0.0000
Dy 0.0000 3.1091 3.1091
Dy 3.1091 0.0000 3.1091
Dy 3.1091 3.1091 0.0000
Ga 0.0000 0.0000 3.1091
Ga 0.0000 3.1091 0.0000
Ga 3.1091 0.0000 0.0000
Ga 3.1091 3.1091 3.1091
Ni 1.5545 1.5545 4.6636
Ni 1.5545 4.6636 1.5545
Ni 4.6636 1.5545 1.5545
Ni 4.6636 4.6636 4.6636
! Energy of formation, eV per atom: -0.4251

---

[2]
! DyGaNi4 | the Alexandria database | PBE | optimized geometry; values from VASP
&SYSTEM
  ibrav = 0, nat = 12, ntyp = 3
/
ATOMIC_SPECIES
Dy 162.50 Dy.upf
Ga 69.72 Ga.upf
Ni 58.69 Ni.upf
CELL_PARAMETERS angstrom
1.9016 -7.5702 0.0000
1.9016 7.5702 0.0000
0.0000 0.0000 5.9548
ATOMIC_POSITIONS angstrom
Dy 1.9016 6.0481 4.4661
Dy 1.9016 -6.0481 1.4887
Ga 1.9016 4.0262 1.4887
Ga 1.9016 -4.0262 4.4661
Ni 1.9016 6.3941 1.4887
Ni 1.9016 2.5042 3.2917
Ni 1.9016 2.5042 5.6405
Ni 1.9016 0.0000 0.0000
Ni 1.9016 0.0000 2.9774
Ni 1.9016 -2.5042 0.3143
Ni 1.9016 -2.5042 2.6631
Ni 1.9016 -6.3941 4.4661
! Energy of formation, eV per atom: -0.3294

---

[3]
! DyGa6Ni4 | the Alexandria database | PBE | optimized geometry; values from VASP
&SYSTEM
  ibrav = 0, nat = 11, ntyp = 3
/
ATOMIC_SPECIES
Dy 162.50 Dy.upf
Ga 69.72 Ga.upf
Ni 58.69 Ni.upf
CELL_PARAMETERS angstrom
6.9512 0.0000 0.0000
-3.4756 6.0199 0.0000
0.0000 0.0000 3.9345
ATOMIC_POSITIONS angstrom
Dy 0.0000 0.0000 0.0000
Ga 0.0000 2.3646 1.9673
Ga -1.4279 4.8377 1.9673
Ga 3.4756 0.4133 0.0000
Ga 2.0958 2.8033 0.0000
Ga 1.4279 4.8377 1.9673
Ga 4.8555 2.8033 0.0000
Ni 0.0000 4.0133 0.0000
Ni 2.1759 1.2563 1.9673
Ni 4.7753 1.2563 1.9673
Ni 3.4756 3.5074 1.9673
! Energy of formation, eV per atom: -0.4593

---

[4]
! DyGa7Ni5 | the Alexandria database | PBE | optimized geometry; values from VASP
&SYSTEM
  ibrav = 0, nat = 13, ntyp = 3
/
ATOMIC_SPECIES
Dy 162.50 Dy.upf
Ga 69.72 Ga.upf
Ni 58.69 Ni.upf
CELL_PARAMETERS angstrom
-2.5434 4.3341 4.2183
2.5434 -4.3341 4.2183
2.5434 4.3341 -4.2183
ATOMIC_POSITIONS angstrom
Dy 0.0000 0.0000 0.0000
Ga 2.5434 1.7327 -0.0769
Ga 2.5434 0.0000 1.9927
Ga 0.0000 0.0000 2.9970
Ga 0.0000 2.9710 0.1640
Ga 0.0000 0.0000 5.5824
Ga 0.0000 5.6972 0.1640
Ga 0.0000 2.6013 4.1414
Ni 1.2865 -2.0804 2.1262
Ni 3.8003 -2.0804 2.1262
Ni 1.2865 2.0804 2.1262
Ni 3.8003 2.0804 2.1262
Ni 0.0000 4.3341 2.2872
! Energy of formation, eV per atom: -0.4590

---

[5]
! Dy3Ga12Ni | the Alexandria database | PBE | optimized geometry; values from VASP
&SYSTEM
  ibrav = 0, nat = 16, ntyp = 3
/
ATOMIC_SPECIES
Dy 162.50 Dy.upf
Ga 69.72 Ga.upf
Ni 58.69 Ni.upf
CELL_PARAMETERS angstrom
4.2815 0.0000 0.0000
0.0000 4.2815 0.0000
0.0000 0.0000 16.1096
ATOMIC_POSITIONS angstrom
Dy 0.0000 0.0000 0.0000
Dy 0.0000 0.0000 4.3222
Dy 0.0000 0.0000 11.7874
Ga 0.0000 2.1408 2.1456
Ga 0.0000 2.1408 6.4447
Ga 0.0000 2.1408 9.6649
Ga 0.0000 2.1408 13.9640
Ga 2.1408 0.0000 2.1456
Ga 2.1408 0.0000 6.4447
Ga 2.1408 0.0000 9.6649
Ga 2.1408 0.0000 13.9640
Ga 2.1408 2.1408 0.0000
Ga 2.1408 2.1408 4.2056
Ga 2.1408 2.1408 8.0548
Ga 2.1408 2.1408 11.9040
Ni 0.0000 0.0000 8.0548
! Energy of formation, eV per atom: -0.4076

---

[6]
! Dy11Ga9Ni4 | the Alexandria database | PBE | optimized geometry; values from VASP
&SYSTEM
  ibrav = 0, nat = 24, ntyp = 3
/
ATOMIC_SPECIES
Dy 162.50 Dy.upf
Ga 69.72 Ga.upf
Ni 58.69 Ni.upf
CELL_PARAMETERS angstrom
6.8821 -10.3420 0.0000
6.8821 10.3420 0.0000
0.0000 0.0000 3.5572
ATOMIC_POSITIONS angstrom
Dy 0.0000 0.0000 0.0000
Dy 3.3288 3.5299 0.0000
Dy 6.8821 6.9104 0.0000
Dy 4.2518 0.0000 0.0000
Dy 6.8821 2.6077 0.0000
Dy 3.3288 -3.5299 0.0000
Dy 10.4354 3.5299 0.0000
Dy 6.8821 -2.6077 0.0000
Dy 9.5125 0.0000 0.0000
Dy 6.8821 -6.9104 0.0000
Dy 10.4354 -3.5299 0.0000
Ga 2.0444 1.4425 1.7786
Ga 5.4738 4.8058 1.7786
Ga 2.0444 -1.4425 1.7786
Ga 8.2904 4.8058 1.7786
Ga 6.8821 0.0000 1.7786
Ga 5.4738 -4.8058 1.7786
Ga 11.7198 1.4425 1.7786
Ga 8.2904 -4.8058 1.7786
Ga 11.7198 -1.4425 1.7786
Ni 4.7503 2.1117 1.7786
Ni 4.7503 -2.1117 1.7786
Ni 9.0139 2.1117 1.7786
Ni 9.0139 -2.1117 1.7786
! Energy of formation, eV per atom: -0.5930

---

[7]
! Dy2GaNi16 | the Alexandria database | PBE | optimized geometry; values from VASP
&SYSTEM
  ibrav = 0, nat = 19, ntyp = 3
/
ATOMIC_SPECIES
Dy 162.50 Dy.upf
Ga 69.72 Ga.upf
Ni 58.69 Ni.upf
CELL_PARAMETERS angstrom
4.1472 2.3944 4.0493
-4.1472 2.3944 4.0493
0.0000 -4.7888 4.0493
ATOMIC_POSITIONS angstrom
Dy 0.0000 0.0000 0.0000
Dy 0.0000 0.0000 3.8134
Ga 0.0000 0.0000 9.0715
Ni 0.0000 2.3960 10.1215
Ni 2.0750 -1.1980 10.1215
Ni -2.0809 -1.2014 5.9274
Ni 0.0000 -2.3893 5.7837
Ni -2.0692 1.1946 5.7837
Ni -1.2364 -2.1396 7.9441
Ni -2.4712 -0.0010 7.9441
Ni -2.0750 -1.1980 10.1215
Ni 0.0000 0.0000 6.7128
Ni 1.2364 -2.1396 7.9441
Ni -1.2347 2.1406 7.9441
Ni 2.0809 -1.2014 5.9274
Ni 0.0000 2.4028 5.9274
Ni 2.0692 1.1946 5.7837
Ni 2.4712 -0.0010 7.9441
Ni 1.2347 2.1406 7.9441
! Energy of formation, eV per atom: -0.2499

---

[8]
! DyGa3Ni | the Alexandria database | PBE | optimized geometry; values from VASP
&SYSTEM
  ibrav = 0, nat = 5, ntyp = 3
/
ATOMIC_SPECIES
Dy 162.50 Dy.upf
Ga 69.72 Ga.upf
Ni 58.69 Ni.upf
CELL_PARAMETERS angstrom
4.0861 0.0000 0.0000
0.0000 4.0861 0.0000
0.0000 0.0000 5.3187
ATOMIC_POSITIONS angstrom
Dy 0.0000 0.0000 0.0000
Ga 0.0000 2.0431 2.5139
Ga 2.0431 0.0000 2.5139
Ga 2.0431 2.0431 4.2266
Ni 2.0431 2.0431 1.2327
! Energy above the lowest structure with this stoichiometry, eV per atom: 0.052
! Energy of formation, eV per atom: -0.5245

---

[9]
! Dy2GaNi2 | the Alexandria database | PBE | optimized geometry; values from VASP
&SYSTEM
  ibrav = 0, nat = 10, ntyp = 3
/
ATOMIC_SPECIES
Dy 162.50 Dy.upf
Ga 69.72 Ga.upf
Ni 58.69 Ni.upf
CELL_PARAMETERS angstrom
4.1817 0.0000 0.0000
0.0000 5.3678 0.0000
0.0000 0.0000 8.2691
ATOMIC_POSITIONS angstrom
Dy 0.0000 0.0000 1.6699
Dy 0.0000 0.0000 6.5992
Dy 2.0908 2.6839 2.4646
Dy 2.0908 2.6839 5.8044
Ga 0.0000 2.6839 0.0000
Ga 2.0908 0.0000 4.1345
Ni 0.0000 1.4397 4.1345
Ni 0.0000 3.9281 4.1345
Ni 2.0908 1.2442 0.0000
Ni 2.0908 4.1236 0.0000
! Energy of formation, eV per atom: -0.5764

---

[10]
! Dy3Ga7Ni2 | the Alexandria database | PBE | optimized geometry; values from VASP
&SYSTEM
  ibrav = 0, nat = 12, ntyp = 3
/
ATOMIC_SPECIES
Dy 162.50 Dy.upf
Ga 69.72 Ga.upf
Ni 58.69 Ni.upf
CELL_PARAMETERS angstrom
4.1773 0.0000 0.0000
0.0000 4.1442 0.0000
-2.0646 0.0000 12.8895
ATOMIC_POSITIONS angstrom
Dy 0.0000 0.0000 0.0000
Dy 0.0087 2.0721 8.2300
Dy 2.1040 2.0721 4.6594
Ga 0.0095 2.0721 2.1977
Ga 0.0113 0.0000 5.7283
Ga 0.0239 0.0000 10.6848
Ga 2.0887 2.0721 0.0000
Ga 2.0888 0.0000 2.2047
Ga 2.1014 0.0000 7.1612
Ga 2.1032 2.0721 10.6918
Ni -0.0004 0.0000 3.3735
Ni 2.1131 0.0000 9.5160
! Energy of formation, eV per atom: -0.6107

---

[11]
! DyGaNi | the Alexandria database | PBE | optimized geometry; values from VASP
&SYSTEM
  ibrav = 0, nat = 6, ntyp = 3
/
ATOMIC_SPECIES
Dy 162.50 Dy.upf
Ga 69.72 Ga.upf
Ni 58.69 Ni.upf
CELL_PARAMETERS angstrom
3.2322 0.0000 0.0000
0.0000 3.2322 0.0000
0.0000 0.0000 10.3182
ATOMIC_POSITIONS angstrom
Dy 0.0000 0.0000 0.0000
Dy 1.6161 1.6161 5.1591
Ga 0.0000 0.0000 7.2900
Ga 1.6161 1.6161 2.1308
Ni 0.0000 0.0000 3.2546
Ni 1.6161 1.6161 8.4138
! Energy of formation, eV per atom: -0.4079

---

[12]
! Dy12GaNi5 | the Alexandria database | PBE | optimized geometry; values from VASP
&SYSTEM
  ibrav = 0, nat = 18, ntyp = 3
/
ATOMIC_SPECIES
Dy 162.50 Dy.upf
Ga 69.72 Ga.upf
Ni 58.69 Ni.upf
CELL_PARAMETERS angstrom
-4.6469 4.7574 4.9055
4.6469 -4.7574 4.9055
4.6469 4.7574 -4.9055
ATOMIC_POSITIONS angstrom
Dy 4.6469 2.9565 -2.7620
Dy 2.7142 1.7245 0.0000
Dy 6.5797 1.7245 0.0000
Dy 1.8299 4.7574 -1.7227
Dy 2.8170 0.0000 3.1828
Dy 0.0000 1.8009 2.1435
Dy 4.6469 2.9565 2.7620
Dy 1.8299 4.7574 1.7227
Dy 2.8170 0.0000 6.6282
Dy -1.9327 3.0329 4.9055
Dy 1.9327 3.0329 4.9055
Dy 0.0000 1.8009 7.6674
Ga 0.0000 0.0000 4.9055
Ni 0.0000 0.0000 0.0000
Ni 4.6469 0.0000 1.2251
Ni 0.0000 3.4373 0.0000
Ni 0.0000 6.0775 0.0000
Ni 0.0000 4.7574 3.6804
! Energy of formation, eV per atom: -0.3378